# 1
# HfMo2W, optimized geometry, DFT PBE
data_HfMo2W
_cell_length_a 3.225
_cell_length_b 4.578
_cell_length_c 4.578
_cell_angle_alpha 90.00
_cell_angle_beta 90.00
_cell_angle_gamma 90.00
_space_group_name_H-M_alt 'P 1'
_space_group_IT_number 1
_space_group_name_Hall 'P 1'
loop_
_atom_site_label
_atom_site_type_symbol
_atom_site_fract_x
_atom_site_fract_y
_atom_site_fract_z
Mo1 Mo 0.000 0.000 0.500
Mo2 Mo 0.000 0.500 0.000
Hf1 Hf 0.500 0.500 0.500
W1 W 0.500 0.000 0.000
# magnetic moment: 0.00 μB/f.u.

# 2
# Hf2MoW, optimized geometry, DFT PBE
data_Hf2MoW
_cell_length_a 3.059
_cell_length_b 3.059
_cell_length_c 9.865
_cell_angle_alpha 81.08
_cell_angle_beta 81.08
_cell_angle_gamma 60.00
_space_group_name_H-M_alt 'P 1'
_space_group_IT_number 1
_space_group_name_Hall 'P 1'
loop_
_atom_site_label
_atom_site_type_symbol
_atom_site_fract_x
_atom_site_fract_y
_atom_site_fract_z
Mo1 Mo 0.500 0.500 0.500
Hf1 Hf 0.093 0.093 0.722
Hf2 Hf 0.907 0.907 0.278
W1 W 0.000 0.000 0.000
# magnetic moment: 0.00 μB/f.u.

# 3
# HfMo2W, optimized geometry, DFT PBE
data_HfMo2W
_cell_length_a 3.221
_cell_length_b 3.221
_cell_length_c 6.557
_cell_angle_alpha 90.00
_cell_angle_beta 90.00
_cell_angle_gamma 90.00
_space_group_name_H-M_alt 'P 1'
_space_group_IT_number 1
_space_group_name_Hall 'P 1'
loop_
_atom_site_label
_atom_site_type_symbol
_atom_site_fract_x
_atom_site_fract_y
_atom_site_fract_z
Mo1 Mo 0.000 0.000 0.764
Mo2 Mo 0.000 0.000 0.236
Hf1 Hf 0.500 0.500 0.500
W1 W 0.500 0.500 0.000
# magnetic moment: 0.00 μB/f.u.

# 4
# HfMo3W, optimized geometry, DFT PBE
data_HfMo3W
_cell_length_a 4.740
_cell_length_b 4.740
_cell_length_c 4.740
_cell_angle_alpha 90.00
_cell_angle_beta 90.00
_cell_angle_gamma 90.00
_space_group_name_H-M_alt 'P 1'
_space_group_IT_number 1
_space_group_name_Hall 'P 1'
loop_
_atom_site_label
_atom_site_type_symbol
_atom_site_fract_x
_atom_site_fract_y
_atom_site_fract_z
Mo1 Mo 0.000 0.500 0.000
Mo2 Mo 0.000 0.000 0.500
Mo3 Mo 0.500 0.000 0.000
Hf1 Hf 0.500 0.500 0.500
W1 W 0.000 0.000 0.000
# magnetic moment: 1.45 μB/f.u.

E above lowest polymorph? In order: 29, 584, 0, 0 meV/atom.
Electronic total energy? In order: -11.19, -10.25, -11.22, -9.63 eV per atom.